A geometry-optimized Ca3Fe2W2O12 structure, computed with PBE with a Hubbard U. Values from VASP.

Calculated values
DOS at the Fermi energy: 0.000 states/eV per atom
Space group: Pm
Energy relative to the lowest polymorph listed for this composition: 0 meV per atom
Total DFT energy (no corrections): -0.2598 hartree per atom
Calculated density: 5.6 g/cm3
Volume: 12.42 Å³ per atom
Total magnetic moment: 10.1 μB per cell

Structure (Quantum ESPRESSO input):
```
&SYSTEM
  ibrav = 0, nat = 19, ntyp = 4
/
ATOMIC_SPECIES
Ca 40.08 Ca.upf
Fe 55.84 Fe.upf
W 183.84 W.upf
O 16.00 O.upf
CELL_PARAMETERS angstrom
-3.018 -2.009 -4.145
0.328 -7.053 3.191
-4.619 1.072 2.843
ATOMIC_POSITIONS angstrom
Ca -1.240 -6.282 0.354
Ca -5.231 -3.236 -1.903
Ca -4.996 -6.726 -0.204
Fe -7.409 -4.411 0.379
Fe -3.760 -0.449 -0.563
W -2.950 -2.025 -4.030
W -3.588 -3.905 1.019
O -3.259 -5.511 2.159
O -3.947 -2.420 -0.124
O 0.042 -5.463 2.128
O -2.638 -3.533 -2.953
O -5.439 -4.551 0.878
O -3.186 -5.074 -0.509
O -3.927 -2.908 2.639
O -1.739 -3.416 1.293
O -1.812 -0.399 -0.008
O -4.038 0.118 1.363
O -3.034 -7.885 0.690
O -5.380 -7.340 2.134
```